Entry 1:
VASP calculation (GGA-PBE) on an optimized crystal structure of Ca2GdSe.

As for the crystal system: trigonal. The value obtained for the volume is 411.3 Å³ per cell. As for the raw formation energy: -66 kJ per mole of atoms.

The space group is R-3m (No. 166, hexagonal axes) and the conventional cell measures 3.8564, 3.8564 and 31.9311 Å, with angles of 90.00, 90.00 and 120.00 degrees. Symmetry generates all atoms from Ca at (0.0000, 0.0000, 0.1088), Gd at (0.0000, 0.0000, 0.0000) and Se at (0.0000, 0.0000, 0.5000).

Entry 2:
VASP calculation (GGA-PBE) on an optimized crystal structure of CaGdSe2.

As for the crystal system: trigonal. The value obtained for the volume is 307.0 Å³ per cell. As for the raw formation energy: -184 kJ per mole of atoms.

The space group is R-3m (No. 166, hexagonal axes) and the conventional cell measures 4.1477, 4.1477 and 20.6090 Å, with angles of 90.00, 90.00 and 120.00 degrees. Symmetry generates all atoms from Ca at (0.0000, 0.0000, 0.0000), Gd at (0.0000, 0.0000, 0.5000) and Se at (0.0000, 0.0000, 0.2497).

Entry 3:
VASP calculation (GGA-PBE) on an optimized crystal structure of CaGd2Si.

The calculation puts the polymorph energy (0 for the lowest one) at 0.000 eV/atom. As for the crystal system: tetragonal. The value obtained for the volume is 119.3 Å³ per cell. As for the raw formation energy: -24 kJ per mole of atoms.

The space group is P4/mmm (No. 123) and the conventional cell measures 3.505, 3.505 and 9.713 Å, with angles of 90.00, 90.00 and 90.00 degrees. Symmetry generates all atoms from Ca at (0.000, 0.000, 0.000), Gd at (0.500, 0.500, 0.320) and Si at (0.000, 0.000, 0.500).

Entry 4:
VASP calculation (GGA-PBE) on an optimized crystal structure of CaGd2Si.

The calculation puts the polymorph energy (0 for the lowest one) at 0.029 eV/atom. As for the crystal system: trigonal. The value obtained for the volume is 414.0 Å³ per cell. As for the raw formation energy: -21 kJ per mole of atoms.

The space group is R-3m (No. 166, hexagonal axes) and the conventional cell measures 4.0700, 4.0700 and 28.8577 Å, with angles of 90.00, 90.00 and 120.00 degrees. Symmetry generates all atoms from Ca at (0.0000, 0.0000, 0.0000), Gd at (0.0000, 0.0000, 0.2221) and Si at (0.0000, 0.0000, 0.5000).

Entry 5:
VASP calculation (GGA-PBE) on an optimized crystal structure of CaGdZnSi.

As for the crystal system: cubic. The value obtained for the volume is 366.6 Å³ per cell. As for the raw formation energy: -37 kJ per mole of atoms.

The space group is F-43m (No. 216) and the conventional cell measures 7.157, 7.157 and 7.157 Å, with angles of 90.00, 90.00 and 90.00 degrees. Symmetry generates all atoms from Ca at (0.000, 0.000, 0.000), Gd at (0.000, 0.000, 0.500), Zn at (0.250, 0.250, 0.250) and Si at (0.250, 0.250, 0.750).

Entry 6:
VASP calculation (GGA-PBE) on an optimized crystal structure of CaSm2Gd.

The calculation puts the polymorph energy (0 for the lowest one) at 0.084 eV/atom. As for the crystal system: cubic. The value obtained for the formation energy is 52 kJ/mol of formula units. The value obtained for the volume is 556.5 Å³ per cell.

The space group is Fm-3m (No. 225) and the conventional cell measures 8.225, 8.225 and 8.225 Å, with angles of 90.00, 90.00 and 90.00 degrees. Symmetry generates all atoms from Ca at (0.000, 0.000, 0.000), Sm at (0.250, 0.250, 0.250) and Gd at (0.000, 0.000, 0.500).

Entry 7:
VASP calculation (GGA-PBE) on an optimized crystal structure of CaSm2Gd.

The calculation puts the polymorph energy (0 for the lowest one) at 0.000 eV/atom. As for the crystal system: trigonal. The value obtained for the formation energy is 19 kJ/mol of formula units. The value obtained for the volume is 419.4 Å³ per cell.

The space group is R-3m (No. 166, hexagonal axes) and the conventional cell measures 3.6458, 3.6458 and 36.4369 Å, with angles of 90.00, 90.00 and 120.00 degrees. Symmetry generates all atoms from Ca at (0.0000, 0.0000, 0.0000), Sm at (0.0000, 0.0000, 0.2458) and Gd at (0.0000, 0.0000, 0.5000).

Entry 8:
VASP calculation (GGA-PBE) on an optimized crystal structure of CaSm2Gd.

The calculation puts the polymorph energy (0 for the lowest one) at 0.051 eV/atom. As for the crystal system: tetragonal. The value obtained for the formation energy is 39 kJ/mol of formula units. The value obtained for the volume is 138.4 Å³ per cell.

The space group is P4/mmm (No. 123) and the conventional cell measures 5.179, 5.179 and 5.159 Å, with angles of 90.00, 90.00 and 90.00 degrees. Symmetry generates all atoms from Ca at (0.000, 0.000, 0.000), Sm at (0.000, 0.500, 0.500) and Gd at (0.500, 0.500, 0.000).

Entry 9:
VASP calculation (GGA-PBE) on an optimized crystal structure of CaSm2Gd.

The calculation puts the polymorph energy (0 for the lowest one) at 0.005 eV/atom. As for the crystal system: tetragonal. The value obtained for the formation energy is 21 kJ/mol of formula units. The value obtained for the volume is 139.9 Å³ per cell.

The space group is P4/mmm (No. 123) and the conventional cell measures 3.664, 3.664 and 10.422 Å, with angles of 90.00, 90.00 and 90.00 degrees. Symmetry generates all atoms from Ca at (0.000, 0.000, 0.000), Sm at (0.500, 0.500, 0.266) and Gd at (0.000, 0.000, 0.500).

Entry 10:
VASP calculation (GGA-PBE) on an optimized crystal structure of CaSmGdTh.

As for the crystal system: cubic. The value obtained for the formation energy is 81 kJ/mol of formula units. The value obtained for the volume is 548.9 Å³ per cell.

The space group is F-43m (No. 216) and the conventional cell measures 8.188, 8.188 and 8.188 Å, with angles of 90.00, 90.00 and 90.00 degrees. Symmetry generates all atoms from Ca at (0.000, 0.000, 0.000), Sm at (0.250, 0.250, 0.250), Gd at (0.250, 0.250, 0.750) and Th at (0.000, 0.000, 0.500).

Entry 11:
VASP calculation (GGA-PBE) on an optimized crystal structure of CaSmGdTm.

As for the crystal system: cubic. The value obtained for the formation energy is 51 kJ/mol of formula units. The value obtained for the volume is 541.2 Å³ per cell.

The space group is F-43m (No. 216) and the conventional cell measures 8.149, 8.149 and 8.149 Å, with angles of 90.00, 90.00 and 90.00 degrees. Symmetry generates all atoms from Ca at (0.000, 0.000, 0.000), Sm at (0.250, 0.250, 0.750), Gd at (0.250, 0.250, 0.250) and Tm at (0.000, 0.000, 0.500).

Entry 12:
VASP calculation (GGA-PBE) on an optimized crystal structure of CaGd2Sn.

The calculation puts the polymorph energy (0 for the lowest one) at 0.121 eV/atom. As for the crystal system: cubic. The value obtained for the formation energy is -106 kJ/mol of formula units. The value obtained for the volume is 467.3 Å³ per cell.

The space group is Fm-3m (No. 225) and the conventional cell measures 7.760, 7.760 and 7.760 Å, with angles of 90.00, 90.00 and 90.00 degrees. Symmetry generates all atoms from Ca at (0.000, 0.000, 0.000), Gd at (0.250, 0.250, 0.250) and Sn at (0.000, 0.000, 0.500).

Entry 13:
VASP calculation (GGA-PBE) on an optimized crystal structure of CaGdSn.

The calculation puts the polymorph energy (0 for the lowest one) at 0.099 eV/atom. As for the crystal system: trigonal. The value obtained for the formation energy is -108 kJ/mol of formula units. The value obtained for the volume is 90.9 Å³ per cell.

The space group is P3m1 (No. 156) and the conventional cell measures 5.2472, 5.2472 and 3.8135 Å, with angles of 90.00, 90.00 and 120.00 degrees. Symmetry generates all atoms from Ca at (0.0000, 0.0000, 0.0000), Gd at (0.3333, 0.6667, 0.4466) and Sn at (0.6667, 0.3333, 0.7317).

Entry 14:
VASP calculation (GGA-PBE) on an optimized crystal structure of CaGd2Sn.

The calculation puts the polymorph energy (0 for the lowest one) at 0.000 eV/atom. As for the crystal system: tetragonal. The value obtained for the formation energy is -152 kJ/mol of formula units. The value obtained for the volume is 117.7 Å³ per cell.

The space group is P4/mmm (No. 123) and the conventional cell measures 4.908, 4.908 and 4.885 Å, with angles of 90.00, 90.00 and 90.00 degrees. Symmetry generates all atoms from Ca at (0.000, 0.000, 0.000), Gd at (0.000, 0.500, 0.500) and Sn at (0.500, 0.500, 0.000).

Entry 15:
VASP calculation (GGA-PBE) on an optimized crystal structure of CaGd2Sn.

The calculation puts the polymorph energy (0 for the lowest one) at 0.078 eV/atom. As for the crystal system: tetragonal. The value obtained for the formation energy is -122 kJ/mol of formula units. The value obtained for the volume is 122.9 Å³ per cell.

The space group is P4/mmm (No. 123) and the conventional cell measures 4.207, 4.207 and 6.944 Å, with angles of 90.00, 90.00 and 90.00 degrees. Symmetry generates all atoms from Ca at (0.000, 0.000, 0.000), Gd at (0.500, 0.500, 0.278) and Sn at (0.000, 0.000, 0.500).